(1)
{"formula": "Cd2Pb", "functional": "PBEsol", "state": "optimized geometry", "lattice": [[3.224, 0.000, 0.000], [-1.612, 6.073, 0.070], [0.000, -2.029, 7.469]], "species": ["Cd", "Pb", "Cd", "Cd", "Pb", "Cd"], "frac_coords": [[0.389, 0.778, 0.271], [0.048, 0.096, 0.594], [0.331, 0.663, 0.662], [0.680, 0.361, 0.338], [0.720, 0.439, 0.948], [0.998, 0.996, 0.020]], "dos_at_fermi_per_ev_cell": 2.33, "crystal_system": "monoclinic", "e_form_mev_per_atom": 84.7}

(2)
{"formula": "CdPb8", "functional": "PBEsol", "state": "optimized geometry", "lattice": [[-0.224, 4.376, -2.210], [-0.446, -1.101, -7.583], [-7.369, 2.042, -0.657]], "species": ["Cd", "Pb", "Pb", "Pb", "Pb", "Pb", "Pb", "Pb", "Pb"], "frac_coords": [[0.000, 0.000, 0.000], [0.335, 0.000, 0.329], [0.000, 0.670, 0.330], [0.330, 0.670, 0.670], [0.335, 0.329, 0.000], [0.665, 0.000, 0.671], [0.665, 0.671, 0.000], [0.670, 0.330, 0.330], [0.000, 0.330, 0.670]], "dos_at_fermi_per_ev_cell": 4.82, "crystal_system": "tetragonal", "e_form_mev_per_atom": 21.2}

(3)
{"formula": "Cd4Pb5", "functional": "PBEsol", "state": "optimized geometry", "lattice": [[4.870, 0.000, 0.000], [2.435, 6.953, 0.000], [2.435, 0.000, 6.953]], "species": ["Cd", "Cd", "Pb", "Pb", "Pb", "Pb", "Cd", "Pb", "Cd"], "frac_coords": [[0.000, 0.348, 0.652], [0.000, 0.652, 0.348], [0.000, 0.000, 0.000], [0.671, 0.000, 0.658], [0.329, 0.342, 0.000], [0.329, 0.000, 0.342], [0.348, 0.652, 0.652], [0.671, 0.658, 0.000], [0.652, 0.348, 0.348]], "dos_at_fermi_per_ev_cell": 3.88, "crystal_system": "tetragonal", "e_form_mev_per_atom": 62.4}

Record-wise raw total energy values, in eV per atom: -2.0462 -3.6662 -2.6910